# 1
Computed, not measured: a relaxed HgTe2WF crystal at the GGA+U level of DFT.

Cell lengths 5.633, 5.633, 4.189 Å; angles 90.00, 90.00, 90.00 degrees
Element x y z (fractional)
Hg: 0.000 0.000 0.000
Te: 0.000 0.500 0.500
Te: 0.500 0.000 0.500
W: 0.500 0.500 0.500
F: 0.500 0.500 0.000

The volume is 132.94 Å³/cell.

# 2
Computed, not measured: a relaxed HgTeWF2 crystal at the GGA+U level of DFT.

Cell lengths 4.220, 4.220, 6.268 Å; angles 90.00, 90.00, 90.00 degrees
Element x y z (fractional)
Hg: 0.000 0.000 0.000
Te: 0.500 0.500 0.000
W: 0.000 0.000 0.500
F: 0.000 0.500 0.500
F: 0.500 0.000 0.500

The volume is 111.61 Å³/cell.

Computed DFT total energy (eV per atom) in order:
-3.51; -3.93
Computed total moment (μB per cell) in order:
2.381; 3.625